{"formula": "V2CdPdO8", "functional": "PBE with a Hubbard U", "state": "relaxed", "dft_energy_ev_per_atom": -6.283, "cell": [[5.667, 0.000, 0.000], [-2.834, 4.908, 0.000], [0.000, 0.000, 6.229]], "species": ["V", "V", "Cd", "Pd", "O", "O", "O", "O", "O", "O", "O", "O"], "frac_coords": [[0.333, 0.667, 0.226], [0.667, 0.333, 0.774], [0.000, 0.000, 0.000], [0.000, 0.000, 0.500], [0.156, 0.311, 0.291], [0.156, 0.844, 0.291], [0.311, 0.156, 0.709], [0.333, 0.667, 0.964], [0.667, 0.333, 0.036], [0.689, 0.844, 0.291], [0.844, 0.156, 0.709], [0.844, 0.689, 0.709]]}